Computed, not measured: a relaxed GeSbRh2C crystal at the PBE level of DFT.

It has space group P4/mmm (No. 123), with a = 4.785 Å, b = 4.785 Å, c = 3.704 Å, α = 90.00°, β = 90.00° and γ = 90.00°. The inequivalent atoms are Ge at (0.000, 0.000, 0.000), Sb at (0.500, 0.500, 0.500), Rh at (0.000, 0.500, 0.000) and C at (0.000, 0.000, 0.500).

The total energy is -5.58 eV/atom. For the volume, the calculation gives 17.0 Å³ per atom. Its density is 8.07 g cm⁻³.

=====

Computed, not measured: a relaxed PuSI crystal at the PBE level of DFT.

It has space group I4mm (No. 107), with a = 3.652 Å, b = 3.652 Å, c = 12.849 Å, α = 90.00°, β = 90.00° and γ = 90.00°. The inequivalent atoms are Pu at (0.000, 0.000, 0.000), S at (0.000, 0.000, 0.587) and I at (0.000, 0.000, 0.329).

The total energy is -7.84 eV/atom. For the volume, the calculation gives 28.6 Å³ per atom. The energy above the most stable polymorph in this dataset is 281 meV per atom. Its density is 7.81 g cm⁻³.

=====

Computed, not measured: a relaxed K3BiAs6Se12 crystal at the PBE level of DFT.

It has space group P-3 (No. 147), with a = 9.9301 Å, b = 9.9301 Å, c = 8.0508 Å, α = 90.00°, β = 90.00° and γ = 120.00°. The inequivalent atoms are K at (0.0000, 0.0000, 0.0000), K at (0.3333, 0.6667, 0.8562), Bi at (0.0000, 0.0000, 0.5000), As at (0.1590, 0.4521, 0.3769), Se at (0.0580, 0.7869, 0.7125) and Se at (0.0934, 0.6229, 0.2108).

The total energy is -3.94 eV/atom. For the volume, the calculation gives 31.3 Å³ per atom. Its density is 4.16 g cm⁻³.

=====

Computed, not measured: a relaxed CeTaH crystal at the PBE level of DFT.

It has space group P4/nmm (No. 129, origin choice 2), with a = 3.686 Å, b = 3.686 Å, c = 8.507 Å, α = 90.00°, β = 90.00° and γ = 90.00°. The inequivalent atoms are Ce at (0.250, 0.250, 0.170), Ta at (0.250, 0.750, 0.500) and H at (0.250, 0.250, 0.889).

The total energy is -6.73 eV/atom. For the volume, the calculation gives 19.3 Å³ per atom. Its density is 9.25 g cm⁻³.